1.
This record from Alexandria via LeMat-Bulk describes crystalline ZrScPt2 at its relaxed geometry. The functional is PBE-GGA.

Formation energy: -1.15 eV/atom
Electronic total energy: -7.8920 eV per atom
Density: 11.41 g/cm³
Space group: Pm (6)

a = 4.355 Å, b = 3.444 Å, c = 5.384 Å
α = 71.59°, β = 90.00°, γ = 90.00°
Fractional positions:
Sc: 0.000 0.484 0.409
Zr: 0.500 0.766 0.842
Pt: 0.000 0.216 0.943
Pt: 0.500 0.034 0.307

2.
This record from Alexandria via LeMat-Bulk describes crystalline TiNi4 at its relaxed geometry. The functional is PBE-GGA.

Formation energy: -0.32 eV/atom
Electronic total energy: -6.5191 eV per atom
Density: 8.02 g/cm³
Space group: Imma (74)

a = 3.809 Å, b = 5.028 Å, c = 6.878 Å
α = 111.44°, β = 106.08°, γ = 90.00°
Fractional positions:
Ni: 0.304 0.314 0.608
Ni: 0.895 0.645 0.790
Ni: 0.105 0.355 0.210
Ni: 0.304 0.795 0.608
Ni: 0.696 0.686 0.392
Ni: 0.500 0.500 0.000
Ni: 0.696 0.205 0.392
Ni: 0.500 0.000 0.000
Ti: 0.892 0.142 0.784
Ti: 0.108 0.858 0.216

3.
This record from Alexandria via LeMat-Bulk describes crystalline Sm2ScSb3Rh4 at its relaxed geometry. The functional is PBE-GGA.

Electronic total energy: -6.6306 eV per atom
Density: 8.82 g/cm³
Space group: P-4m2 (115)

a = 4.302 Å, b = 4.302 Å, c = 11.424 Å
α = 90.00°, β = 90.00°, γ = 90.00°
Fractional positions:
Sc: 0.500 0.500 0.500
Rh: 0.500 0.500 0.000
Rh: 0.000 0.500 0.359
Rh: 0.500 0.000 0.641
Rh: 0.000 0.000 0.000
Sb: 0.000 0.500 0.134
Sb: 0.000 0.000 0.500
Sb: 0.500 0.000 0.866
Sm: 0.500 0.000 0.236
Sm: 0.000 0.500 0.764

4.
This record from Alexandria via LeMat-Bulk describes crystalline AcSiP6Ru2 at its relaxed geometry. The functional is PBE-GGA.

Electronic total energy: -6.2706 eV per atom
Density: 5.24 g/cm³
Space group: R-3 (148)

a = 6.859 Å, b = 6.859 Å, c = 6.379 Å
α = 57.47°, β = 57.47°, γ = 60.00°
Fractional positions:
P: 0.653 0.095 0.765
P: 0.095 0.487 0.765
P: 0.487 0.653 0.765
P: 0.905 0.513 0.235
P: 0.513 0.347 0.235
P: 0.347 0.905 0.235
Ru: 0.316 0.316 0.051
Ru: 0.684 0.684 0.949
Ac: 0.000 0.000 0.000
Si: 0.500 0.500 0.500

5.
This record from Alexandria via LeMat-Bulk describes crystalline FeTePb4 at its relaxed geometry. The functional is PBE-GGA.

Electronic total energy: -3.7691 eV per atom
Density: 8.97 g/cm³
Space group: F-43m (216)

a = 6.424 Å, b = 6.424 Å, c = 6.424 Å
α = 60.00°, β = 60.00°, γ = 60.00°
Each line ends with the local moment (μB).
Fractional positions:
Pb: 0.374 0.877 0.374  -0.01
Pb: 0.374 0.374 0.877  -0.01
Pb: 0.877 0.374 0.374  -0.01
Pb: 0.374 0.374 0.374  -0.01
Te: 0.750 0.750 0.750  0.03
Fe: 0.000 0.000 0.000  3.27

6.
This record from Alexandria via LeMat-Bulk describes crystalline ZnCuBRh2 at its relaxed geometry. The functional is PBE-GGA.

Formation energy: -0.20 eV/atom
Electronic total energy: -5.5484 eV per atom
Density: 8.81 g/cm³
Space group: P4/mmm (123)

a = 4.087 Å, b = 4.087 Å, c = 3.899 Å
α = 90.00°, β = 90.00°, γ = 90.00°
Fractional positions:
Rh: 0.500 0.000 0.000
Rh: 0.000 0.500 0.000
B: 0.000 0.000 0.000
Zn: 0.500 0.500 0.500
Cu: 0.000 0.000 0.500

7.
This record from Alexandria via LeMat-Bulk describes crystalline AcCdAg2Au4 at its relaxed geometry. The functional is PBE-GGA.

Formation energy: -0.32 eV/atom
Electronic total energy: -3.3036 eV per atom
Density: 12.56 g/cm³
Space group: R-3m (166)

a = 4.738 Å, b = 4.738 Å, c = 9.531 Å
α = 75.61°, β = 75.61°, γ = 60.00°
Fractional positions:
Ag: 0.762 0.762 0.713
Ag: 0.238 0.238 0.287
Au: 0.396 0.396 0.811
Au: 0.604 0.604 0.189
Au: 0.874 0.874 0.377
Au: 0.126 0.126 0.623
Ac: 0.000 0.000 0.000
Cd: 0.500 0.500 0.500

8.
This record from Alexandria via LeMat-Bulk describes crystalline CsTc3N at its relaxed geometry. The functional is PBE-GGA.

Electronic total energy: -3.7973 eV per atom
Density: 5.77 g/cm³
Space group: Pm-3m (221)

a = 5.024 Å, b = 5.024 Å, c = 5.024 Å
α = 90.00°, β = 90.00°, γ = 90.00°
Each line ends with the local moment (μB).
Fractional positions:
Tc: 0.000 0.000 0.500  2.00
Tc: 0.500 0.000 0.000  2.21
Tc: 0.000 0.500 0.000  2.05
N: 0.500 0.500 0.500  1.41
Cs: 0.000 0.000 0.000  -0.04

9.
This record from Alexandria via LeMat-Bulk describes crystalline Na2CuSnI5 at its relaxed geometry. The functional is PBE-GGA.

Electronic total energy: -2.7758 eV per atom
Density: 4.30 g/cm³
Space group: Cmc2_1 (36)

a = 4.435 Å, b = 10.579 Å, c = 14.507 Å
α = 90.00°, β = 90.00°, γ = 102.10°
Fractional positions:
I: 0.359 0.718 0.012
I: 0.641 0.282 0.512
I: 0.497 0.995 0.271
I: 0.304 0.607 0.381
I: 0.048 0.096 0.017
I: 0.696 0.393 0.881
I: 0.303 0.606 0.696
I: 0.697 0.394 0.196
I: 0.503 0.005 0.771
I: 0.952 0.904 0.517
Na: 0.923 0.846 0.150
Na: 0.107 0.215 0.337
Na: 0.077 0.154 0.650
Na: 0.893 0.785 0.837
Sn: 0.797 0.594 0.538
Sn: 0.203 0.406 0.038
Cu: 0.429 0.857 0.422
Cu: 0.571 0.143 0.922

10.
This record from Alexandria via LeMat-Bulk describes crystalline Pm3Sm2Er2 at its relaxed geometry. The functional is PBE-GGA.

Formation energy: 0.12 eV/atom
Electronic total energy: -4.5726 eV per atom
Density: 7.58 g/cm³
Space group: C2/m (12)

a = 3.529 Å, b = 8.602 Å, c = 9.001 Å
α = 118.38°, β = 101.30°, γ = 90.00°
Fractional positions:
Er: 0.147 0.330 0.295
Er: 0.853 0.670 0.705
Pm: 0.787 0.203 0.575
Pm: 0.000 0.500 0.000
Pm: 0.213 0.797 0.425
Sm: 0.565 0.912 0.130
Sm: 0.435 0.088 0.870

11.
This record from Alexandria via LeMat-Bulk describes crystalline Cs2S2I at its relaxed geometry. The functional is PBE-GGA.

Electronic total energy: -2.8128 eV per atom
Density: 4.24 g/cm³
Space group: P4/mbm (127)

a = 8.193 Å, b = 8.193 Å, c = 5.326 Å
α = 90.00°, β = 90.00°, γ = 90.00°
Fractional positions:
S: 0.175 0.325 0.000
S: 0.675 0.175 0.000
S: 0.825 0.675 0.000
S: 0.325 0.825 0.000
I: 0.000 0.000 0.000
I: 0.500 0.500 0.000
Cs: 0.847 0.347 0.500
Cs: 0.153 0.653 0.500
Cs: 0.653 0.847 0.500
Cs: 0.347 0.153 0.500

12.
This record from Alexandria via LeMat-Bulk describes crystalline AcZnIn at its relaxed geometry. The functional is PBE-GGA.

Formation energy: -0.38 eV/atom
Electronic total energy: -3.0909 eV per atom
Density: 7.83 g/cm³
Space group: Immm (71)

a = 4.835 Å, b = 6.448 Å, c = 6.448 Å
α = 82.17°, β = 67.98°, γ = 67.98°
Fractional positions:
Zn: 0.500 0.340 0.660
Zn: 0.500 0.660 0.340
Ac: 0.244 0.256 0.256
Ac: 0.756 0.744 0.744
In: 0.000 0.828 0.172
In: 0.000 0.172 0.828

In μB/cell, the total magnetic moment values for the records above are, in order, 0.00, 0.00, 0.00, 0.00, 3.37, 0.00, 0.00, 8.75, 0.00, 0.00, 0.00, 0.00.